Record 1
Computed, not measured: InRh at its PBEsol-relaxed geometry at the SCAN level of DFT.

a b c (Å): 3.185 3.185 3.185
angles (deg): 90.00 90.00 90.00
Atoms (fractional coordinates):
In 0.000 0.000 0.000
Rh 0.500 0.500 0.500

Properties
SG = No. 221
Formation enthalpy at 0 K = -0.4486 eV per atom



Record 2
Computed, not measured: In4Rh at its PBEsol-relaxed geometry at the SCAN level of DFT.

a b c (Å): 6.175 6.175 6.175
angles (deg): 90.00 90.00 90.00
Atoms (fractional coordinates):
In 0.250 0.250 0.250
In 0.250 0.250 0.750
In 0.250 0.750 0.250
In 0.250 0.750 0.750
In 0.750 0.250 0.250
In 0.750 0.250 0.750
In 0.750 0.750 0.250
In 0.750 0.750 0.750
Rh 0.000 0.000 0.000
Rh 0.500 0.500 0.500

Properties
SG = No. 229
Formation enthalpy at 0 K = -0.1781 eV per atom



Record 3
Computed, not measured: InRuRh2 at its PBEsol-relaxed geometry at the SCAN level of DFT.

a b c (Å): 2.808 2.808 7.522
angles (deg): 90.00 90.00 90.00
Atoms (fractional coordinates):
In 0.000 0.000 0.000
Ru 0.500 0.500 0.728
Rh 0.000 0.000 0.504
Rh 0.500 0.500 0.260

Properties
SG = No. 99
Formation enthalpy at 0 K = 0.0349 eV per atom



Record 4
Computed, not measured: InRuRh2 at its PBEsol-relaxed geometry at the SCAN level of DFT.

a b c (Å): 8.992 2.806 4.772
angles (deg): 90.00 100.18 90.00
Atoms (fractional coordinates):
In 0.000 0.000 0.000
In 0.500 0.500 0.000
Ru 0.000 0.500 0.500
Ru 0.500 0.000 0.500
Rh 0.245 0.000 0.732
Rh 0.255 0.500 0.268
Rh 0.745 0.500 0.732
Rh 0.755 0.000 0.268

Properties
SG = No. 12
Formation enthalpy at 0 K = 0.0165 eV per atom



Record 5
Computed, not measured: InRh2S at its PBEsol-relaxed geometry at the SCAN level of DFT.

a b c (Å): 6.229 6.229 6.229
angles (deg): 90.00 90.00 90.00
Atoms (fractional coordinates):
In 0.000 0.000 0.000
In 0.000 0.500 0.500
In 0.500 0.000 0.500
In 0.500 0.500 0.000
Rh 0.250 0.250 0.250
Rh 0.250 0.250 0.750
Rh 0.250 0.750 0.250
Rh 0.250 0.750 0.750
Rh 0.750 0.250 0.250
Rh 0.750 0.250 0.750
Rh 0.750 0.750 0.250
Rh 0.750 0.750 0.750
S 0.000 0.000 0.500
S 0.000 0.500 0.000
S 0.500 0.000 0.000
S 0.500 0.500 0.500

Properties
SG = No. 225
Formation energy from raw total energies = 0.15 eV per atom



Record 6
Computed, not measured: InRhS3 at its PBEsol-relaxed geometry at the SCAN level of DFT.

a b c (Å): 4.608 4.608 4.608
angles (deg): 90.00 90.00 90.00
Atoms (fractional coordinates):
In 0.000 0.000 0.000
Rh 0.500 0.500 0.500
S 0.000 0.500 0.500
S 0.500 0.000 0.500
S 0.500 0.500 0.000

Properties
SG = No. 221
Formation energy from raw total energies = 0.15 eV per atom



Record 7
Computed, not measured: In2SbRhS at its PBEsol-relaxed geometry at the SCAN level of DFT.

a b c (Å): 4.930 4.930 5.046
angles (deg): 90.00 90.00 90.00
Atoms (fractional coordinates):
In 0.000 0.500 0.000
In 0.500 0.000 0.000
Sb 0.000 0.000 0.500
Rh 0.500 0.500 0.500
S 0.000 0.000 0.000

Properties
SG = No. 123
Formation energy from raw total energies = 0.85 eV per atom



Record 8
Computed, not measured: InSb3Rh at its PBEsol-relaxed geometry at the SCAN level of DFT.

a b c (Å): 5.124 5.124 5.124
angles (deg): 90.00 90.00 90.00
Atoms (fractional coordinates):
In 0.000 0.000 0.000
Sb 0.000 0.500 0.500
Sb 0.500 0.000 0.500
Sb 0.500 0.500 0.000
Rh 0.500 0.500 0.500

Properties
SG = No. 221
Formation energy from raw total energies = 0.28 eV per atom



Record 9
Computed, not measured: InSn2SbRh at its PBEsol-relaxed geometry at the SCAN level of DFT.

a b c (Å): 5.066 5.066 5.193
angles (deg): 90.00 90.00 90.00
Atoms (fractional coordinates):
In 0.000 0.000 0.000
Sn 0.000 0.500 0.500
Sn 0.500 0.000 0.500
Sb 0.500 0.500 0.000
Rh 0.500 0.500 0.500

Properties
SG = No. 123
Formation energy from raw total energies = 0.12 eV per atom



Record 10
Computed, not measured: InSb2TeRh at its PBEsol-relaxed geometry at the SCAN level of DFT.

a b c (Å): 4.989 4.989 5.601
angles (deg): 90.00 90.00 90.00
Atoms (fractional coordinates):
In 0.000 0.000 0.000
Sb 0.000 0.500 0.500
Sb 0.500 0.000 0.500
Te 0.500 0.500 0.000
Rh 0.500 0.500 0.500

Properties
SG = No. 123
Formation energy from raw total energies = 0.21 eV per atom



Record 11
Computed, not measured: Sc5In4Rh2 at its PBEsol-relaxed geometry at the SCAN level of DFT.

a b c (Å): 7.576 17.354 3.315
angles (deg): 90.00 90.00 90.00
Atoms (fractional coordinates):
Sc 0.000 0.000 0.000
Sc 0.125 0.414 0.000
Sc 0.244 0.721 0.000
Sc 0.256 0.221 0.000
Sc 0.375 0.914 0.000
Sc 0.500 0.500 0.000
Sc 0.625 0.086 0.000
Sc 0.744 0.779 0.000
Sc 0.756 0.279 0.000
Sc 0.875 0.586 0.000
In 0.068 0.851 0.500
In 0.203 0.567 0.500
In 0.297 0.067 0.500
In 0.432 0.351 0.500
In 0.568 0.649 0.500
In 0.703 0.933 0.500
In 0.797 0.433 0.500
In 0.932 0.149 0.500
Rh 0.038 0.306 0.500
Rh 0.462 0.806 0.500
Rh 0.538 0.194 0.500
Rh 0.962 0.694 0.500

Properties
SG = No. 55
Formation enthalpy at 0 K = -0.8357 eV per atom



Record 12
Computed, not measured: ScIn3Rh at its PBEsol-relaxed geometry at the SCAN level of DFT.

a b c (Å): 4.974 4.974 4.974
angles (deg): 90.00 90.00 90.00
Atoms (fractional coordinates):
Sc 0.000 0.000 0.000
In 0.000 0.500 0.500
In 0.500 0.000 0.500
In 0.500 0.500 0.000
Rh 0.500 0.500 0.500

Properties
SG = No. 221
Formation enthalpy at 0 K = -0.0382 eV per atom



no.,density (g cm⁻³),volume (Å³/atom)
1,11.19,16.161
2,7.93,23.551
3,11.81,14.826
4,11.82,14.811
5,9.69,15.107
6,5.33,19.575
7,6.59,24.526
8,7.20,26.910
9,7.19,26.654
10,7.01,27.886
11,6.78,19.811
12,6.64,24.612